Cs2AcB2S6, relaxed, DFT GGA-PBE; M_tot = 0.0 Bohr magnetons per cell; SG = C2/m, No. 12; formation energy without anion corrections = -1015 meV/atom; volume = 31.8 A^3/atom
1.0
6.025 -3.479 0.000
6.025 3.479 0.000
-4.029 0.000 8.335
Cs Ac B S
2 1 2 6
Cartesian
2.005 0.000 0.990 Cs
6.016 0.000 7.345 Cs
-2.015 0.000 4.168 Ac
1.998 0.000 6.075 B
6.022 0.000 2.261 B
2.904 1.569 6.151 S
0.187 0.000 6.158 S
5.117 1.569 2.184 S
2.904 -1.569 6.151 S
7.834 0.000 2.177 S
5.117 -1.569 2.184 S



TiPdPb2, relaxed, DFT GGA-PBE; formation enthalpy at 0 K = 712 meV/atom; M_tot = 0.0 Bohr magnetons per cell; SG = I-42d, No. 122; volume = 31.6 A^3/atom; ΔE to the lowest computed polymorph = 0.652 eV/atom
1.0
-3.179 3.179 6.260
3.179 -3.179 6.260
3.179 3.179 -6.260
Ti Pd Pb
2 2 4
Cartesian
0.000 0.000 0.000 Ti
0.000 3.179 3.130 Ti
3.179 0.000 3.130 Pd
0.000 0.000 6.260 Pd
1.590 -1.489 4.695 Pb
1.691 1.590 1.565 Pb
1.590 4.668 -1.565 Pb
1.489 1.590 7.825 Pb



PrNpOs4, relaxed, DFT GGA-PBE; formation enthalpy at 0 K = 16 meV/atom; M_tot = 2.8 Bohr magnetons per cell; SG = F-43m, No. 216; volume = 18.5 A^3/atom
1.0
0.000 3.815 3.815
3.815 0.000 3.815
3.815 3.815 0.000
Pr Np Os
1 1 4
Cartesian
0.000 0.000 0.000 Pr
5.723 5.723 5.723 Np
2.864 2.864 2.864 Os
4.767 4.767 2.864 Os
4.767 2.864 4.767 Os
2.864 4.767 4.767 Os



OsSI2Cl, relaxed, DFT GGA-PBE; M_tot = 3.4 Bohr magnetons per cell; SG = P4/mmm, No. 123; formation energy without anion corrections = 1065 meV/atom; volume = 30.5 A^3/atom
1.0
5.911 0.000 0.000
0.000 5.911 0.000
0.000 0.000 4.360
Os S I Cl
1 1 2 1
Cartesian
0.000 0.000 0.000 Os
0.000 0.000 2.180 S
0.000 2.955 2.180 I
2.955 0.000 2.180 I
2.955 2.955 0.000 Cl